Here is crystalline LaNdPu4 at its relaxed geometry from Alexandria. Energies are from PBE-GGA.

Cell: 6.241 6.241 6.241 Å, 60.00 60.00 60.00°
Each line ends with the local moment (μB).
Fractional positions:
La 0.000 0.000 0.000  0.04
Nd 0.250 0.250 0.250  -0.03
Pu 0.625 0.625 0.125  5.35
Pu 0.625 0.125 0.625  5.35
Pu 0.625 0.625 0.625  5.35
Pu 0.125 0.625 0.625  5.35

Summary:
* SG: No. 216
* spin magnetization: 22.6 μB per cell
* ΔH_f (0 K): 0.241 eV per atom